Compound: MnAl2Ni
Source: the Alexandria database
Functional: PBE-GGA
Structure: optimized geometry

## Properties
Space group = P4/mmm
Formation energy from the elements = -0.465 eV per atom
VASP energy = -6.07 eV per atom

POSCAR file:
```
MnAl2Ni
1.0
2.800 0.000 0.000
0.000 2.800 0.000
0.000 0.000 6.421
Mn Al Ni
1 2 1
direct
0.000 0.000 0.000
0.500 0.500 0.262
0.500 0.500 0.738
0.000 0.000 0.500
```

Compound: Mn2AlNi8
Source: the Alexandria database
Functional: PBE-GGA
Structure: optimized geometry

## Properties
Space group = Immm
Formation energy from the elements = -0.050 eV per atom
VASP energy = -6.26 eV per atom

POSCAR file:
```
Mn2AlNi8
1.0
-1.770 3.651 5.167
1.770 -3.651 5.167
1.770 3.651 -5.167
Mn Al Ni
2 1 8
direct
0.146 0.146 0.000
0.854 0.854 0.000
0.500 0.500 0.000
0.088 0.332 0.756
0.266 0.000 0.266
0.321 0.821 0.500
0.424 0.668 0.756
0.576 0.332 0.244
0.679 0.179 0.500
0.734 0.000 0.734
0.912 0.668 0.244
```